A plane-wave DFT calculation with PBE was carried out for a relaxed structure of YHf2Ti2.

a b c (Å): 8.1524 8.1524 3.3512
angles (deg): 90.00 90.00 90.00
Closest atoms and distances in Å follow each position.
Atoms (fractional coordinates):
Ti1 0.6212 0.1212 0.0000  1 Ti 2.79, 6 Hf 2.92-2.95
Hf1 0.8316 0.3316 0.5000  6 Ti 2.92-2.95
Hf2 0.6684 0.8316 0.5000  6 Ti 2.92-2.95
Hf3 0.1684 0.6684 0.5000  6 Ti 2.92-2.95
Y1 0.0000 0.0000 0.0000  4 Ti 3.24, 2 Y 3.35, 8 Hf 3.46
Y2 0.5000 0.5000 0.0000  4 Ti 3.24, 2 Y 3.35, 8 Hf 3.46
Ti2 0.3788 0.8788 0.0000  1 Ti 2.79, 6 Hf 2.92-2.95
Ti3 0.8788 0.6212 0.0000  1 Ti 2.79, 6 Hf 2.92-2.95
Hf4 0.3316 0.1684 0.5000  6 Ti 2.92-2.95
Ti4 0.1212 0.3788 0.0000  1 Ti 2.79, 6 Hf 2.92-2.95

Results
Volume, A^3/atom: 22.3
DOS(E_F), states/eV/atom: 1.77
DFT formation energy, eV per atom: 0.1225
Excess energy over the best structure of this formula in the dataset, kJ/mol of formula units: 0.0